No. 1
The following is a DFT calculation (PBE) of crystalline NiHgBr2 at its relaxed geometry.

Values from the calculation:
- Raw formation energy: -0.1 eV/f.u.
- Energy above the lowest structure with this stoichiometry: 202 meV/atom

Lattice parameters (Å, degrees): 3.485 8.490 8.961 90.00 90.00 90.00
Space group Imm2 (No. 44)
Inequivalent atoms, fractional coordinates:
1 Ni 0.000 0.000 0.000 x2
2 Hg 0.000 0.500 0.712 x2
3 Br 0.000 0.000 0.445 x2
4 Br 0.000 0.500 0.334 x2

***

No. 2
The following is a DFT calculation (PBE) of crystalline SmHoEr4 at its relaxed geometry.

Values from the calculation:
- Energy of formation: 116 kJ/mol of formula units
- Energy above the lowest structure with this stoichiometry: 41 meV/atom

Lattice parameters (Å, degrees): 3.426 5.771 9.804 90.00 90.00 90.00
Space group Pmmm (No. 47)
Inequivalent atoms, fractional coordinates:
1 Sm 0.000 0.000 0.000 x1
2 Ho 0.500 0.500 0.500 x1
3 Er 0.000 0.500 0.190 x2
4 Er 0.500 0.000 0.314 x2

***

No. 3
The following is a DFT calculation (PBE) of crystalline Pr3Ag4Sn2 at its relaxed geometry.

Values from the calculation:
- Energy of formation: -402 kJ/mol of formula units

Lattice parameters (Å, degrees): 11.345 4.803 9.304 90.00 114.73 90.00
Space group C2/m (No. 12)
Inequivalent atoms, fractional coordinates:
1 Pr 0.000 0.000 0.000 x2
2 Pr 0.157 0.500 0.677 x4
3 Ag 0.083 0.000 0.420 x4
4 Ag 0.212 0.500 0.045 x4
5 Sn 0.122 0.500 0.285 x4

***

No. 4
The following is a DFT calculation (PBE) of crystalline Ba2PtSe at its relaxed geometry.

Values from the calculation:
- Raw formation energy: -4.8 eV/f.u.

Lattice parameters (Å, degrees): 4.208 4.211 15.857 90.00 90.00 90.00
Space group Imm2 (No. 44)
Inequivalent atoms, fractional coordinates:
1 Ba 0.000 0.000 0.000 x2
2 Ba 0.000 0.500 0.253 x2
3 Pt 0.000 0.500 0.840 x2
4 Se 0.000 0.000 0.590 x2

***

No. 5
The following is a DFT calculation (PBE) of crystalline TiPdW2 at its relaxed geometry.

Values from the calculation:
- Energy of formation: 130 kJ/mol of formula units
- Energy above the lowest structure with this stoichiometry: 0 meV/atom

Lattice parameters (Å, degrees): 6.330 6.330 6.330 90.00 90.00 90.00
Space group Fm-3m (No. 225)
Inequivalent atoms, fractional coordinates:
1 Ti 0.000 0.000 0.000 x4
2 Pd 0.000 0.000 0.500 x4
3 W 0.250 0.250 0.250 x8

***

No. 6
The following is a DFT calculation (PBE) of crystalline Mg3TlV at its relaxed geometry.

Values from the calculation:
- Energy of formation: 429 kJ/mol of formula units
- Energy above the lowest structure with this stoichiometry: 167 meV/atom

Lattice parameters (Å, degrees): 5.285 5.285 5.285 90.00 90.00 90.00
Space group Pm-3m (No. 221)
Inequivalent atoms, fractional coordinates:
1 Mg 0.000 0.000 0.500 x3
2 Tl 0.000 0.000 0.000 x1
3 V 0.500 0.500 0.500 x1

***

These records have DFT total energy values of -19.1, -26.3, -75.8, -36.4, -150.6, -11.8 eV/cell, in the order they appear.